The following is a GGA-PBE calculation of crystalline CsRbIF at its relaxed geometry, from Alexandria via LeMat-Bulk.

## Properties
Volume   373.16 Å³/cell
Theoretical density   3.24 g/cm3
SG   R-3m (166)
Total moment   0.148 μB per cell
Final energy   -3.31 eV/atom

Structure (extended XYZ):
```
8
Lattice="-3.036 3.134 -4.252 -0.648 -2.306 -5.602 -11.109 -4.871 -0.023" Properties=species:S:1:pos:R:3 pbc="T T T"
Rb -10.192 -2.562 -7.706
Rb -4.600 -1.481 -2.172
I -6.958 -0.877 -8.773
I -7.834 -3.166 -1.104
F -2.354 -0.310 -2.913
F -12.439 -3.733 -6.964
Cs -11.153 -3.978 -3.699
Cs -3.640 -0.064 -6.178
```